# 1
PBEsol SiPt, optimized geometry; calculated total energy = -0.23185 Ha/atom; raw formation energy = 4 kJ per mole of atoms
1.0
4.3660 0.0000 0.0000
2.1830 3.7810 0.0000
2.1830 1.2603 3.5648
Pt Si
2 2
Direct
0.5000 0.5000 0.5000
0.7500 0.7500 0.7500
0.0000 0.0000 0.0000
0.2500 0.2500 0.2500

***

# 2
PBEsol SiPt5, optimized geometry; calculated total energy = -0.25921 Ha/atom; raw formation energy = -28 kJ per mole of atoms
1.0
2.7949 0.0000 0.0000
-1.3975 4.8126 -0.0695
0.0000 -2.6345 6.5504
Si Pt
1 5
Direct
0.0000 0.0000 0.0000
0.6373 0.2746 0.8518
0.0000 0.0000 0.5000
0.3627 0.7254 0.1482
0.3252 0.6504 0.6910
0.6748 0.3496 0.3090

***

# 3
PBEsol SiPt5, optimized geometry; calculated total energy = -0.25661 Ha/atom; raw formation energy = -21 kJ per mole of atoms
1.0
-2.2339 1.4476 0.9610
-0.4597 -2.0019 1.9470
6.4491 5.3139 6.9864
Pt Si
5 1
Direct
0.0000 0.0000 0.8619
0.0000 0.0000 0.1381
0.5000 0.5000 0.6744
0.5000 0.5000 0.3256
0.0000 0.0000 0.5000
0.5000 0.5000 0.0000

***

# 4
PBEsol SiPt, optimized geometry; calculated total energy = -0.24462 Ha/atom; raw formation energy = -29 kJ per mole of atoms
1.0
-2.2879 -0.5550 -1.4845
2.6495 -1.5534 -3.5026
-0.3027 -2.9675 4.1850
Pt Si
2 2
Direct
0.1014 0.8514 0.2028
0.8986 0.1486 0.7972
0.6334 0.3834 0.2669
0.3666 0.6166 0.7331

***

# 5
PBEsol SiPt, optimized geometry; calculated total energy = -0.26061 Ha/atom; raw formation energy = -71 kJ per mole of atoms
1.0
-1.3822 3.2156 -0.8571
-3.9824 -2.5122 -3.0028
-3.4655 -0.2163 4.7770
Si Pt
4 4
Direct
0.7500 0.3226 0.0844
0.2500 0.6774 0.9156
0.7500 0.8226 0.4156
0.2500 0.1774 0.5844
0.7500 0.5026 0.6917
0.2500 0.4974 0.3083
0.7500 0.0026 0.8083
0.2500 0.9974 0.1917

***

# 6
PBEsol Sm2Si3Pt, optimized geometry; calculated total energy = -0.24748 Ha/atom; raw formation energy = -97 kJ per mole of atoms
1.0
-2.9705 -2.5302 -0.9415
2.7246 -3.1067 -0.2477
-0.8592 1.4078 7.4842
Si Sm Pt
3 2 1
Direct
0.2946 0.2946 0.5892
0.4595 0.4595 0.9190
0.7054 0.2054 0.4108
0.8710 0.8710 0.7419
0.1291 0.6291 0.2582
0.5404 0.0404 0.0808

***

# 7
PBEsol SmSiPt, optimized geometry; calculated total energy = -0.26089 Ha/atom; raw formation energy = -112 kJ per mole of atoms
1.0
-2.7427 -2.1435 -2.2197
-0.7480 -2.4193 3.2606
-3.4299 6.7212 1.5866
Si Sm Pt
2 2 2
Direct
0.9174 0.4174 0.8348
0.6674 0.6674 0.3348
0.4977 0.9977 0.9953
0.2477 0.2477 0.4953
0.0849 0.5849 0.1698
0.8349 0.8349 0.6698

***

# 8
PBEsol Sm2Si5Pt3, optimized geometry; calculated total energy = -0.25879 Ha/atom; raw formation energy = -102 kJ per mole of atoms
1.0
-2.0389 2.9881 4.7928
-7.7179 -1.9434 1.6900
0.3926 -4.5255 6.7501
Sm Si Pt
4 10 6
Direct
0.6295 0.6391 0.1020
0.3705 0.3609 0.8980
0.1295 0.1020 0.6391
0.8705 0.8980 0.3609
0.9783 0.2717 0.2717
0.0217 0.7283 0.7283
0.5217 0.7283 0.7283
0.4783 0.2717 0.2717
0.8874 0.4617 0.7634
0.1126 0.5383 0.2366
0.3874 0.7634 0.4617
0.6126 0.2366 0.5383
0.2500 0.0000 0.0000
0.7500 0.0000 0.0000
0.8635 0.2477 0.0252
0.1365 0.7523 0.9748
0.3635 0.0252 0.2477
0.6365 0.9748 0.7523
0.2500 0.5000 0.5000
0.7500 0.5000 0.5000

***

# 9
PBEsol SiSnPt5, optimized geometry; calculated total energy = -0.25590 Ha/atom; raw formation energy = -54 kJ per mole of atoms
1.0
-2.1993 2.9350 -1.4951
-2.9472 -2.5562 -0.6826
-2.5972 1.2952 6.3634
Si Sn Pt
1 1 5
Direct
0.0000 0.0000 0.5000
0.5000 0.5000 0.0000
0.0000 0.5000 0.2948
0.0000 0.5000 0.7052
0.5000 0.0000 0.2948
0.5000 0.0000 0.7052
0.0000 0.0000 0.0000

***

# 10
PBEsol Sr2SiPt2, optimized geometry; calculated total energy = -0.19204 Ha/atom; raw formation energy = -54 kJ per mole of atoms
1.0
-5.4385 0.8497 -0.5050
1.4830 -3.4225 4.0794
2.9442 4.4187 1.5368
Sr Si Pt
2 1 2
Direct
0.5000 0.7500 0.2500
0.5000 0.2500 0.7500
0.0000 0.0000 0.0000
0.0000 0.6822 0.6822
0.0000 0.3178 0.3178

***

# 11
PBEsol SrSiPt, optimized geometry; calculated total energy = -0.15664 Ha/atom; raw formation energy = 57 kJ per mole of atoms
1.0
-3.5305 -2.9248 -1.2759
0.2985 -4.6512 0.9613
-2.8101 -1.9284 3.3214
Sr Si Pt
1 1 1
Direct
0.2500 0.2500 0.2500
0.5000 0.5000 0.5000
0.0000 0.0000 0.0000

***

# 12
PBEsol SrSiPt, optimized geometry; calculated total energy = -0.21475 Ha/atom; raw formation energy = -96 kJ per mole of atoms
1.0
-2.7430 -5.7838 -0.9114
5.6774 -2.8734 1.1476
-1.4315 -0.3135 6.2975
Sr Si Pt
4 4 4
Direct
0.1311 0.1311 0.1311
0.8689 0.6311 0.3689
0.3689 0.8689 0.6311
0.6311 0.3689 0.8689
0.3400 0.6600 0.1600
0.6600 0.1600 0.3400
0.1600 0.3400 0.6600
0.8400 0.8400 0.8400
0.5873 0.9127 0.0873
0.4127 0.4127 0.4127
0.9127 0.0873 0.5873
0.0873 0.5873 0.9127